[1]
Material: K2TaSi
Method: DFT, GGA-PBE
State: optimized geometry

a = 9.516 Å, b = 9.516 Å, c = 9.516 Å
α = 93.75°, β = 93.75°, γ = 150.38°
Element x y z (fractional)
1 K 0.375 0.071 0.196
2 K 0.821 0.625 0.696
3 K 0.875 0.179 0.804
4 K 0.929 0.125 0.304
5 Ta 0.250 0.750 0.500
6 Ta 0.500 0.500 0.000
7 Si 0.000 0.000 0.000
8 Si 0.750 0.250 0.500

Computed properties:
Space-group type = I-42d
Uncorrected formation energy = 404 kJ/mol of formula units
Total magnetic moment = 2.45 μB per cell
D(E_F) = 2.092 states/eV/f.u.
Uncorrected energy = -3.821 eV/atom

=====

[2]
Material: Gd2InP
Method: DFT, GGA-PBE
State: optimized geometry

a = 8.340 Å, b = 8.340 Å, c = 8.340 Å
α = 27.41°, β = 27.41°, γ = 27.41°
Element x y z (fractional)
1 Gd 0.234 0.234 0.234
2 Gd 0.766 0.766 0.766
3 In 0.000 0.000 0.000
4 P 0.500 0.500 0.500

Computed properties:
Calculated formation energy = -3.87 eV per formula unit
Space-group type = R-3m
Total magnetic moment = 14.22 μB per cell
D(E_F) = 2.342 states/eV/f.u.
Uncorrected energy = -10.045 eV/atom

=====

[3]
Material: YAg2Au
Method: DFT, GGA-PBE
State: optimized geometry

a = 7.440 Å, b = 7.440 Å, c = 5.186 Å
α = 98.84°, β = 98.84°, γ = 138.80°
Element x y z (fractional)
1 Y 0.131 0.869 0.750
2 Y 0.869 0.131 0.250
3 Ag 0.240 0.386 0.892
4 Ag 0.386 0.240 0.392
5 Ag 0.614 0.760 0.608
6 Ag 0.760 0.614 0.108
7 Au 0.252 0.748 0.250
8 Au 0.748 0.252 0.750

Computed properties:
Calculated formation energy = -1.57 eV per formula unit
ΔE to the lowest computed polymorph = 22 meV/atom
Space-group type = C2/c
Total magnetic moment = 0.00 μB per cell
D(E_F) = 2.175 states/eV/f.u.
Uncorrected energy = -4.254 eV/atom

=====

[4]
Material: Sc2NbPt2
Method: DFT, GGA-PBE
State: optimized geometry

a = 7.322 Å, b = 7.322 Å, c = 3.533 Å
α = 90.00°, β = 90.00°, γ = 90.00°
Element x y z (fractional)
1 Sc 0.166 0.334 0.000
2 Sc 0.334 0.834 0.000
3 Sc 0.666 0.166 0.000
4 Sc 0.834 0.666 0.000
5 Nb 0.000 0.000 0.500
6 Nb 0.500 0.500 0.500
7 Pt 0.135 0.635 0.500
8 Pt 0.365 0.135 0.500
9 Pt 0.635 0.865 0.500
10 Pt 0.865 0.365 0.500

Computed properties:
Calculated formation energy = -3.77 eV per formula unit
ΔE to the lowest computed polymorph = 0 meV/atom
Space-group type = P4/mbm
Total magnetic moment = 0.00 μB per cell
D(E_F) = 6.032 states/eV/f.u.
Uncorrected energy = -7.717 eV/atom

=====

[5]
Material: LaBeBr2
Method: DFT, GGA-PBE
State: optimized geometry

a = 3.645 Å, b = 3.645 Å, c = 8.462 Å
α = 90.00°, β = 90.00°, γ = 90.00°
Element x y z (fractional)
1 La 0.000 0.000 0.000
2 Be 0.500 0.500 0.228
3 Br 0.000 0.000 0.354
4 Br 0.500 0.500 0.785

Computed properties:
ΔE to the lowest computed polymorph = 141 meV/atom
Space-group type = P4mm
Uncorrected formation energy = -252 kJ/mol of formula units
Total magnetic moment = 0.01 μB per cell
D(E_F) = 2.409 states/eV/f.u.
Uncorrected energy = -3.652 eV/atom

=====

[6]
Material: AcAs2H
Method: DFT, GGA-PBE
State: optimized geometry

a = 6.561 Å, b = 6.561 Å, c = 6.561 Å
α = 45.26°, β = 45.26°, γ = 45.26°
Element x y z (fractional)
1 Ac 0.000 0.000 0.000
2 As 0.403 0.403 0.403
3 As 0.597 0.597 0.597
4 H 0.500 0.500 0.500

Computed properties:
ΔE to the lowest computed polymorph = 445 meV/atom
Space-group type = R-3m
Total magnetic moment = 0.00 μB per cell
D(E_F) = 3.247 states/eV/f.u.
Uncorrected energy = -4.347 eV/atom

=====

[7]
Material: LuMn5
Method: DFT, GGA-PBE
State: optimized geometry

a = 4.784 Å, b = 4.784 Å, c = 8.209 Å
α = 90.00°, β = 90.00°, γ = 120.00°
Element x y z (fractional)
1 Lu 0.333 0.667 0.000
2 Lu 0.667 0.333 0.500
3 Mn 0.000 0.000 0.439
4 Mn 0.000 0.000 0.939
5 Mn 0.171 0.343 0.692
6 Mn 0.171 0.829 0.692
7 Mn 0.333 0.667 0.366
8 Mn 0.343 0.171 0.192
9 Mn 0.657 0.829 0.692
10 Mn 0.667 0.333 0.866
11 Mn 0.829 0.171 0.192
12 Mn 0.829 0.657 0.192

Computed properties:
Calculated formation energy = 0.55 eV per formula unit
Space-group type = P6_3mc
Total magnetic moment = 3.00 μB per cell
D(E_F) = 8.534 states/eV/f.u.
Uncorrected energy = -8.303 eV/atom

=====

[8]
Material: NaNbInF6
Method: DFT, GGA-PBE
State: optimized geometry

a = 6.033 Å, b = 6.033 Å, c = 10.751 Å
α = 90.00°, β = 90.00°, γ = 120.00°
Element x y z (fractional)
1 Na 0.333 0.667 0.250
2 Na 0.667 0.333 0.750
3 Nb 0.333 0.667 0.750
4 Nb 0.667 0.333 0.250
5 In 0.000 0.000 0.000
6 In 0.000 0.000 0.500
7 F 0.039 0.392 0.651
8 F 0.039 0.647 0.849
9 F 0.353 0.392 0.849
10 F 0.353 0.961 0.651
11 F 0.392 0.039 0.151
12 F 0.392 0.353 0.349
13 F 0.608 0.647 0.651
14 F 0.608 0.961 0.849
15 F 0.647 0.039 0.349
16 F 0.647 0.608 0.151
17 F 0.961 0.353 0.151
18 F 0.961 0.608 0.349

Computed properties:
Space-group type = P-31c
Uncorrected formation energy = -2297 kJ/mol of formula units
Total magnetic moment = 2.00 μB per cell
D(E_F) = 3.657 states/eV/f.u.
Uncorrected energy = -5.463 eV/atom

=====

[9]
Material: Pm2AlPtO6
Method: DFT, GGA-PBE
State: optimized geometry

a = 5.338 Å, b = 8.222 Å, c = 5.721 Å
α = 90.00°, β = 90.00°, γ = 90.00°
Element x y z (fractional)
1 Pm 0.250 0.036 0.207
2 Pm 0.250 0.464 0.207
3 Pm 0.750 0.536 0.793
4 Pm 0.750 0.964 0.793
5 Al 0.250 0.750 0.777
6 Al 0.750 0.250 0.223
7 Pt 0.250 0.250 0.708
8 Pt 0.750 0.750 0.292
9 O 0.008 0.250 0.983
10 O 0.016 0.250 0.428
11 O 0.250 0.523 0.804
12 O 0.250 0.977 0.804
13 O 0.484 0.250 0.428
14 O 0.492 0.250 0.983
15 O 0.508 0.750 0.017
16 O 0.516 0.750 0.572
17 O 0.750 0.023 0.196
18 O 0.750 0.477 0.196
19 O 0.984 0.750 0.572
20 O 0.992 0.750 0.017

Computed properties:
Space-group type = Pmmn
Uncorrected formation energy = -2235 kJ/mol of formula units
Total magnetic moment = 1.91 μB per cell
D(E_F) = 1.363 states/eV/f.u.
Uncorrected energy = -7.219 eV/atom

=====

[10]
Material: YAgTe2
Method: DFT, GGA-PBE
State: optimized geometry

a = 5.126 Å, b = 5.126 Å, c = 3.912 Å
α = 90.00°, β = 90.00°, γ = 90.57°
Element x y z (fractional)
1 Y 0.000 0.000 0.000
2 Ag 0.500 0.500 0.000
3 Te 0.000 0.500 0.500
4 Te 0.500 0.000 0.500

Computed properties:
Space-group type = Cmmm
Uncorrected formation energy = -252 kJ/mol of formula units
Total magnetic moment = 0.00 μB per cell
D(E_F) = 1.447 states/eV/f.u.
Uncorrected energy = -4.552 eV/atom

=====

[11]
Material: AcTbTmIn
Method: DFT, GGA-PBE
State: optimized geometry

a = 5.591 Å, b = 5.591 Å, c = 5.591 Å
α = 60.00°, β = 60.00°, γ = 60.00°
Element x y z (fractional)
1 Ac 0.000 0.000 0.000
2 Tb 0.750 0.750 0.750
3 Tm 0.250 0.250 0.250
4 In 0.500 0.500 0.500

Computed properties:
Calculated formation energy = -0.07 eV per formula unit
Space-group type = F-43m
Total magnetic moment = 0.76 μB per cell
D(E_F) = 7.453 states/eV/f.u.
Uncorrected energy = -4.004 eV/atom

=====

[12]
Material: LiTm4Zn3
Method: DFT, GGA-PBE
State: optimized geometry

a = 7.902 Å, b = 7.902 Å, c = 7.902 Å
α = 143.03°, β = 143.03°, γ = 53.29°
Element x y z (fractional)
1 Li 0.000 0.000 0.000
2 Tm 0.127 0.627 0.500
3 Tm 0.373 0.873 0.500
4 Tm 0.627 0.127 0.500
5 Tm 0.873 0.373 0.500
6 Zn 0.248 0.248 0.000
7 Zn 0.500 0.500 0.000
8 Zn 0.752 0.752 0.000

Computed properties:
Calculated formation energy = -1.95 eV per formula unit
Space-group type = I4/mmm
Total magnetic moment = 0.00 μB per cell
D(E_F) = 8.205 states/eV/f.u.
Uncorrected energy = -3.197 eV/atom

=====

[13]
Material: K2CaAs2O7
Method: DFT, GGA-PBE
State: optimized geometry

a = 9.423 Å, b = 5.945 Å, c = 14.914 Å
α = 90.00°, β = 106.49°, γ = 90.00°
Element x y z (fractional)
1 K 0.026 0.248 0.118
2 K 0.026 0.252 0.618
3 K 0.466 0.231 0.166
4 K 0.466 0.269 0.666
5 K 0.534 0.731 0.334
6 K 0.534 0.769 0.834
7 K 0.974 0.748 0.382
8 K 0.974 0.752 0.882
9 Ca 0.268 0.231 0.863
10 Ca 0.268 0.269 0.363
11 Ca 0.732 0.731 0.637
12 Ca 0.732 0.769 0.137
13 As 0.173 0.744 0.696
14 As 0.173 0.756 0.196
15 As 0.318 0.710 0.029
16 As 0.318 0.790 0.529
17 As 0.682 0.210 0.471
18 As 0.682 0.290 0.971
19 As 0.827 0.244 0.804
20 As 0.827 0.256 0.304
21 O 0.009 0.242 0.810
22 O 0.009 0.258 0.310
23 O 0.163 0.707 0.573
24 O 0.163 0.793 0.073
25 O 0.260 0.505 0.229
26 O 0.260 0.995 0.729
27 O 0.268 0.514 0.750
28 O 0.268 0.986 0.250
29 O 0.288 0.067 0.502
30 O 0.288 0.433 0.002
31 O 0.288 0.625 0.433
32 O 0.288 0.875 0.933
33 O 0.475 0.738 0.617
34 O 0.475 0.762 0.117
35 O 0.525 0.238 0.883
36 O 0.525 0.262 0.383
37 O 0.712 0.125 0.067
38 O 0.712 0.375 0.567
39 O 0.712 0.567 0.998
40 O 0.712 0.933 0.498
41 O 0.732 0.014 0.750
42 O 0.732 0.486 0.250
43 O 0.740 0.005 0.271
44 O 0.740 0.495 0.771
45 O 0.837 0.207 0.927
46 O 0.837 0.293 0.427
47 O 0.991 0.742 0.690
48 O 0.991 0.758 0.190

Computed properties:
Space-group type = P2_1/c
Uncorrected formation energy = -2177 kJ/mol of formula units
Total magnetic moment = 0.00 μB per cell
D(E_F) = 0.000 states/eV/f.u.
Uncorrected energy = -5.897 eV/atom

=====

[14]
Material: BaMoCl2
Method: DFT, GGA-PBE
State: optimized geometry

a = 4.282 Å, b = 4.418 Å, c = 6.026 Å
α = 90.00°, β = 90.00°, γ = 90.00°
Element x y z (fractional)
1 Ba 0.000 0.000 0.000
2 Mo 0.500 0.000 0.500
3 Cl 0.000 0.500 0.500
4 Cl 0.500 0.500 0.000

Computed properties:
ΔE to the lowest computed polymorph = 239 meV/atom
Space-group type = Pmmm
Uncorrected formation energy = -115 kJ/mol of formula units
Total magnetic moment = 4.58 μB per cell
D(E_F) = 2.009 states/eV/f.u.
Uncorrected energy = -4.410 eV/atom

=====

[15]
Material: Ti3IrPt
Method: DFT, GGA-PBE
State: optimized geometry

a = 4.688 Å, b = 4.688 Å, c = 4.688 Å
α = 90.00°, β = 90.00°, γ = 90.00°
Element x y z (fractional)
1 Ti 0.000 0.000 0.500
2 Ti 0.000 0.500 0.000
3 Ti 0.500 0.000 0.000
4 Ir 0.500 0.500 0.500
5 Pt 0.000 0.000 0.000

Computed properties:
Calculated formation energy = 2.78 eV per formula unit
ΔE to the lowest computed polymorph = 298 meV/atom
Space-group type = Pm-3m
Total magnetic moment = 0.00 μB per cell
D(E_F) = 10.476 states/eV/f.u.
Uncorrected energy = -7.161 eV/atom

=====

[16]
Material: Ho2Tm
Method: DFT, GGA-PBE
State: optimized geometry

a = 6.067 Å, b = 6.067 Å, c = 7.008 Å
α = 106.78°, β = 106.78°, γ = 48.17°
Element x y z (fractional)
1 Ho 0.000 0.000 0.249
2 Ho 0.000 0.000 0.751
3 Ho 0.333 0.333 0.416
4 Ho 0.667 0.667 0.584
5 Tm 0.333 0.333 0.917
6 Tm 0.667 0.667 0.083

Computed properties:
Calculated formation energy = 0.07 eV per formula unit
ΔE to the lowest computed polymorph = 0 meV/atom
Space-group type = C2/m
Total magnetic moment = 0.00 μB per cell
D(E_F) = 4.168 states/eV/f.u.
Uncorrected energy = -4.519 eV/atom

=====

[17]
Material: NdLuIr2
Method: DFT, GGA-PBE
State: optimized geometry

a = 4.887 Å, b = 4.887 Å, c = 4.887 Å
α = 60.00°, β = 60.00°, γ = 60.00°
Element x y z (fractional)
1 Nd 0.000 0.000 0.000
2 Lu 0.500 0.500 0.500
3 Ir 0.250 0.250 0.250
4 Ir 0.750 0.750 0.750

Computed properties:
Calculated formation energy = -2.82 eV per formula unit
ΔE to the lowest computed polymorph = 26 meV/atom
Space-group type = Fm-3m
Total magnetic moment = 0.00 μB per cell
D(E_F) = 2.402 states/eV/f.u.
Uncorrected energy = -7.457 eV/atom

=====

[18]
Material: KSr2Co
Method: DFT, GGA-PBE
State: optimized geometry

a = 11.400 Å, b = 11.400 Å, c = 11.400 Å
α = 160.00°, β = 159.63°, γ = 28.69°
Element x y z (fractional)
1 K 0.000 0.000 0.000
2 Sr 0.321 0.821 0.500
3 Sr 0.666 0.666 0.000
4 Co 0.764 0.264 0.500

Computed properties:
Calculated formation energy = 1.79 eV per formula unit
ΔE to the lowest computed polymorph = 94 meV/atom
Space-group type = Imm2
Total magnetic moment = 0.76 μB per cell
D(E_F) = 6.238 states/eV/f.u.
Uncorrected energy = -2.444 eV/atom

=====

[19]
Material: TlSi2Sb2
Method: DFT, GGA-PBE
State: optimized geometry

a = 5.797 Å, b = 5.797 Å, c = 5.797 Å
α = 126.04°, β = 126.04°, γ = 79.82°
Element x y z (fractional)
1 Tl 0.000 0.000 0.000
2 Si 0.362 0.362 0.000
3 Si 0.638 0.638 0.000
4 Sb 0.250 0.750 0.500
5 Sb 0.750 0.250 0.500

Computed properties:
ΔE to the lowest computed polymorph = 0 meV/atom
Space-group type = I4/mmm
Uncorrected formation energy = 122 kJ/mol of formula units
Total magnetic moment = 0.00 μB per cell
D(E_F) = 2.517 states/eV/f.u.
Uncorrected energy = -4.039 eV/atom

=====

[20]
Material: PaTiVZn
Method: DFT, GGA-PBE
State: optimized geometry

a = 4.578 Å, b = 4.578 Å, c = 4.578 Å
α = 60.00°, β = 60.00°, γ = 60.00°
Element x y z (fractional)
1 Pa 0.000 0.000 0.000
2 Ti 0.250 0.250 0.250
3 V 0.750 0.750 0.750
4 Zn 0.500 0.500 0.500

Computed properties:
Calculated formation energy = 0.51 eV per formula unit
Space-group type = F-43m
Total magnetic moment = 0.00 μB per cell
D(E_F) = 7.194 states/eV/f.u.
Uncorrected energy = -6.818 eV/atom

=====

[21]
Material: Mn2Al2Hg
Method: DFT, GGA-PBE
State: optimized geometry

a = 7.278 Å, b = 7.278 Å, c = 2.953 Å
α = 90.00°, β = 90.00°, γ = 90.00°
Element x y z (fractional)
1 Mn 0.167 0.333 0.000
2 Mn 0.333 0.833 0.000
3 Mn 0.667 0.167 0.000
4 Mn 0.833 0.667 0.000
5 Al 0.128 0.628 0.500
6 Al 0.372 0.128 0.500
7 Al 0.628 0.872 0.500
8 Al 0.872 0.372 0.500
9 Hg 0.000 0.000 0.500
10 Hg 0.500 0.500 0.500

Computed properties:
Calculated formation energy = 0.30 eV per formula unit
ΔE to the lowest computed polymorph = 0 meV/atom
Space-group type = P4/mbm
Total magnetic moment = 11.34 μB per cell
D(E_F) = 2.599 states/eV/f.u.
Uncorrected energy = -5.166 eV/atom

=====

[22]
Material: AcCd4In12
Method: DFT, GGA-PBE
State: optimized geometry

a = 8.659 Å, b = 8.659 Å, c = 8.659 Å
α = 109.47°, β = 109.47°, γ = 109.47°
Element x y z (fractional)
1 Ac 0.000 0.000 0.000
2 Cd 0.000 0.000 0.500
3 Cd 0.000 0.500 0.000
4 Cd 0.500 0.000 0.000
5 Cd 0.500 0.500 0.500
6 In 0.151 0.504 0.353
7 In 0.151 0.798 0.647
8 In 0.202 0.353 0.849
9 In 0.353 0.151 0.504
10 In 0.353 0.849 0.202
11 In 0.496 0.647 0.849
12 In 0.504 0.353 0.151
13 In 0.647 0.151 0.798
14 In 0.647 0.849 0.496
15 In 0.798 0.647 0.151
16 In 0.849 0.202 0.353
17 In 0.849 0.496 0.647

Computed properties:
Calculated formation energy = 0.95 eV per formula unit
Space-group type = Im-3
Total magnetic moment = 0.00 μB per cell
D(E_F) = 10.015 states/eV/f.u.
Uncorrected energy = -2.334 eV/atom

=====

[23]
Material: KSr3Ac2S6
Method: DFT, GGA-PBE
State: optimized geometry

a = 9.637 Å, b = 9.637 Å, c = 8.703 Å
α = 102.87°, β = 102.87°, γ = 25.90°
Element x y z (fractional)
1 K 0.000 0.000 0.000
2 Sr 0.000 0.000 0.500
3 Sr 0.338 0.338 0.165
4 Sr 0.662 0.662 0.835
5 Ac 0.336 0.336 0.671
6 Ac 0.664 0.664 0.329
7 S 0.168 0.168 0.583
8 S 0.173 0.173 0.090
9 S 0.497 0.497 0.733
10 S 0.503 0.503 0.267
11 S 0.827 0.827 0.910
12 S 0.832 0.832 0.417

Computed properties:
Space-group type = C2/m
Uncorrected formation energy = -2318 kJ/mol of formula units
Total magnetic moment = 0.00 μB per cell
D(E_F) = 2.901 states/eV/f.u.
Uncorrected energy = -5.262 eV/atom